DFT (PBE-GGA) results for a relaxed La9Dy4Er crystal.

Unit cell a=10.046 b=10.046 c=11.530 alpha=90.00 beta=90.00 gamma=120.00
Element x y z (fractional)
La1 0.078 0.539 0.250
La2 0.207 0.415 0.529
La3 0.207 0.415 0.971
La4 0.207 0.793 0.529
La5 0.207 0.793 0.971
La6 0.415 0.207 0.029
La7 0.415 0.207 0.471
La8 0.461 0.539 0.250
La9 0.461 0.922 0.250
La10 0.539 0.078 0.750
La11 0.539 0.461 0.750
La12 0.585 0.793 0.529
La13 0.585 0.793 0.971
La14 0.793 0.207 0.029
La15 0.793 0.207 0.471
La16 0.793 0.585 0.029
La17 0.793 0.585 0.471
La18 0.922 0.461 0.750
Dy1 0.000 0.000 0.000
Dy2 0.000 0.000 0.500
Dy3 0.110 0.219 0.250
Dy4 0.110 0.890 0.250
Dy5 0.219 0.110 0.750
Dy6 0.781 0.890 0.250
Dy7 0.890 0.110 0.750
Dy8 0.890 0.781 0.750
Er1 0.333 0.667 0.750
Er2 0.667 0.333 0.250

Output
The calculation puts the total DFT energy (no corrections) at -130.6 eV for the cell shown. Its symmetry is No. 194.